ZnCo2Os, single point on PBEsol structure, DFT SCAN; volume = 11.94 Å³/atom; crystal system = tetragonal; DFT formation energy = 184 meV/atom; E_tot = -119.27 eV/cell
1.0
-1.876 0.867 1.581
1.480 -0.564 2.065
2.794 6.471 -0.234
Co Zn Os
2 1 1
Direct
0.000 0.000 0.014
0.500 0.500 0.239
0.500 0.500 0.766
0.000 0.000 0.480